# 1
DFT (PBE) results for an optimized crystal structure of Tb6DyTm2Th3.

The structure in CIF format:
```
data_Tb6DyTm2Th3
_chemical_formula_sum 'Tb12 Dy2 Tm4 Th6'
_cell_length_a 6.1684
_cell_length_b 10.6756
_cell_length_c 11.7453
_cell_angle_alpha 90.00
_cell_angle_beta 100.10
_cell_angle_gamma 90.00
_space_group_name_H-M_alt 'C 1 2/m 1'
_space_group_IT_number 12
_space_group_name_Hall '-C 2y'
loop_
_atom_site_label
_atom_site_type_symbol
_atom_site_fract_x
_atom_site_fract_y
_atom_site_fract_z
Tb1 Tb 0.2493 0.1668 0.2475
Tb2 Tb 0.2502 0.0000 0.7524
Dy1 Dy 0.0000 0.5000 0.5000
Tm1 Tm 0.0000 0.1667 0.5000
Th1 Th 0.0000 0.0000 0.0000
Th2 Th 0.0000 0.3335 0.0000
```

Output
E_tot: -5.27 eV per atom
total magnetization: 0.000 μB per formula unit

# 2
DFT (PBE) results for an optimized crystal structure of TbDy6Tm2Th.

The structure in CIF format:
```
data_TbDy6Tm2Th
_chemical_formula_sum 'Tb4 Dy24 Tm8 Th4'
_cell_length_a 9.2864
_cell_length_b 14.8904
_cell_length_c 9.2538
_cell_angle_alpha 90.00
_cell_angle_beta 94.66
_cell_angle_gamma 90.00
_space_group_name_H-M_alt 'C 1 2/c 1'
_space_group_IT_number 15
_space_group_name_Hall '-C 2yc'
loop_
_atom_site_label
_atom_site_type_symbol
_atom_site_fract_x
_atom_site_fract_y
_atom_site_fract_z
Tb1 Tb 0.0000 0.0878 0.2500
Dy1 Dy 0.0578 0.3257 0.4402
Dy2 Dy 0.0949 0.1155 0.6106
Dy3 Dy 0.2120 0.2780 0.8151
Tm1 Tm 0.2470 0.0515 0.9447
Th1 Th 0.0000 0.4644 0.7500
```

Output
E_tot: -4.71 eV per atom
total magnetization: 0.000 μB per formula unit

# 3
DFT (PBE) results for an optimized crystal structure of Tb2Dy5TmTh.

The structure in CIF format:
```
data_Tb2Dy5TmTh
_chemical_formula_sum 'Tb8 Dy20 Tm4 Th4'
_cell_length_a 5.6825
_cell_length_b 21.5043
_cell_length_c 9.6692
_cell_angle_alpha 90.00
_cell_angle_beta 90.00
_cell_angle_gamma 90.00
_space_group_name_H-M_alt 'C m c 21'
_space_group_IT_number 36
_space_group_name_Hall 'C 2c -2'
loop_
_atom_site_label
_atom_site_type_symbol
_atom_site_fract_x
_atom_site_fract_y
_atom_site_fract_z
Tb1 Tb 0.0000 0.1150 0.0000
Tb2 Tb 0.0000 0.1301 0.6169
Dy1 Dy 0.0000 0.0145 0.3108
Dy2 Dy 0.0000 0.2704 0.0013
Dy3 Dy 0.0000 0.3046 0.6094
Dy4 Dy 0.0000 0.3972 0.2851
Dy5 Dy 0.0000 0.4695 0.5839
Tm1 Tm 0.0000 0.1898 0.3106
Th1 Th 0.0000 0.4039 0.9034
```

Output
E_tot: -4.74 eV per atom
total magnetization: 0.000 μB per formula unit

# 4
DFT (PBE) results for an optimized crystal structure of Tb5DyTmTh2.

The structure in CIF format:
```
data_Tb5DyTmTh2
_chemical_formula_sum 'Tb20 Dy4 Tm4 Th8'
_cell_length_a 8.7182
_cell_length_b 8.7182
_cell_length_c 15.6394
_cell_angle_alpha 90.00
_cell_angle_beta 90.00
_cell_angle_gamma 90.00
_space_group_name_H-M_alt 'I 4/m c m'
_space_group_IT_number 140
_space_group_name_Hall '-I 4 2c'
loop_
_atom_site_label
_atom_site_type_symbol
_atom_site_fract_x
_atom_site_fract_y
_atom_site_fract_z
Tb1 Tb 0.0000 0.0000 0.0000
Tb2 Tb 0.2113 0.2887 0.1404
Dy1 Dy 0.0000 0.0000 0.2500
Tm1 Tm 0.0000 0.5000 0.2500
Th1 Th 0.1200 0.3800 0.5000
```

Output
E_tot: -4.88 eV per atom
total magnetization: 0.000 μB per formula unit